[1]
An optimized crystal structure of KMgSnP2. Source: Alexandria, functional PBE.

Structure (POSCAR):
```
KMgSnP2
1.0
6.648 -2.384 0.000
6.648 2.384 0.000
-1.282 0.000 9.245
K Mg Sn P
2 2 2 4
Direct
0.150 0.150 0.155
0.850 0.850 0.845
0.175 0.175 0.558
0.825 0.825 0.442
0.442 0.442 0.298
0.558 0.558 0.702
0.111 0.111 0.803
0.370 0.370 0.557
0.630 0.630 0.443
0.889 0.889 0.197
```

Formation energy from the elements in eV/atom: -0.34
M_tot in μB/cell: 0.00


[2]
An optimized crystal structure of AgS6I. Source: Alexandria, functional PBE.

Structure (POSCAR):
```
AgS6I
1.0
4.854 0.000 0.000
-1.646 8.012 0.000
-1.569 -3.975 7.080
Ag S I
1 6 1
Direct
0.000 0.000 0.000
0.149 0.327 0.764
0.177 0.565 0.327
0.389 0.237 0.569
0.611 0.763 0.431
0.823 0.435 0.673
0.851 0.673 0.236
0.500 0.000 0.000
```

E_form (uncorrected) in eV per atom: 0.1654
M_tot in μB/cell: 0.00


[3]
An optimized crystal structure of TbPmCdAu. Source: Alexandria, functional PBE.

Structure (POSCAR):
```
TbPmCdAu
1.0
3.715 0.000 0.000
0.000 3.715 0.000
0.000 0.000 7.469
Tb Pm Cd Au
1 1 1 1
Direct
0.000 0.000 0.000
0.000 0.000 0.527
0.500 0.500 0.256
0.500 0.500 0.781
```

Formation energy from the elements in eV/atom: -0.57
Energy above the lowest structure with this stoichiometry in kcal/mol of atoms: 0.00
M_tot in μB/cell: 0.00